IrPb after structural relaxation. Source: Alexandria, functional PBE.

Properties
Space group: No. 19
ρ in g cm⁻³: 14.68
V in Å³ per cell: 361
Total moment in μB/f.u.: 0.0
VASP energy in eV per cell: -94.3
Calculated formation energy in kJ per mole of atoms: 37.88

Structure (POSCAR):
```
IrPb
1.0
6.139 0.000 0.000
0.000 6.392 0.000
0.000 0.000 9.210
Ir Pb
8 8
Cartesian
4.985 3.842 2.109
0.916 2.781 1.204
1.916 5.745 7.101
2.154 3.611 5.808
1.154 0.647 2.496
5.224 5.977 3.401
4.224 2.549 6.714
3.985 0.415 8.006
2.358 4.400 3.096
2.838 0.800 4.844
5.908 2.396 4.365
0.231 5.591 0.239
0.712 1.991 7.701
3.781 1.205 1.509
5.428 5.187 6.113
3.301 3.996 8.970
```

***

Rb3TlHg after structural relaxation. Source: Alexandria, functional PBE.

Properties
Space group: No. 12
ρ in g cm⁻³: 4.03
V in Å³ per cell: 546
Total moment in μB/f.u.: 0.0
VASP energy in eV per cell: -11.8
Calculated formation energy in kJ per mole of atoms: -6.14

Structure (POSCAR):
```
Rb3TlHg
1.0
-1.068 -8.619 2.294
7.426 -0.518 -5.027
1.266 6.135 6.469
Rb Tl Hg
6 2 2
Cartesian
2.767 -5.424 0.534
8.074 2.746 0.349
3.067 -0.647 0.040
-0.450 -5.747 3.387
4.558 -2.355 3.695
4.858 2.423 3.202
0.732 -1.320 6.115
6.892 -1.681 -2.379
1.905 0.216 3.711
5.719 -3.217 0.025
```

***

Sr3Ga2Sb4 after structural relaxation. Source: Alexandria, functional PBE.

Properties
Formation energy without anion corrections in kJ/mol of atoms: -59.6
Space group: No. 15
ρ in g cm⁻³: 4.93
V in Å³ per cell: 599
Total moment in μB/f.u.: 0.0
VASP energy in eV per cell: -66.3

Structure (POSCAR):
```
Sr3Ga2Sb4
1.0
-2.962 -0.997 -7.452
8.789 -1.603 -3.280
-4.774 -6.652 4.264
Ga Sr Sb
4 6 8
Cartesian
-1.701 -4.407 1.990
2.753 -4.845 -8.457
-0.385 -5.415 -2.780
1.438 -3.836 -3.687
2.913 -6.967 -4.852
3.966 -1.107 -3.619
-1.907 -3.045 -5.877
1.861 -1.493 -7.112
2.960 -6.207 -0.591
-1.860 -2.285 -1.616
0.450 -8.036 -2.646
4.073 -2.617 -9.395
-3.020 -6.634 2.927
0.602 -1.216 -3.821
1.057 -4.619 -6.330
4.059 -4.397 -3.171
-0.004 -4.633 -0.138
-3.007 -4.855 -3.296
```

***

TbSmHgGe after structural relaxation. Source: Alexandria, functional PBE.

Properties
Space group: No. 216
ρ in g cm⁻³: 9.67
V in Å³ per cell: 100
Total moment in μB/f.u.: 0.0
VASP energy in eV per cell: -16.5
Calculated formation energy in kJ per mole of atoms: -54.34

Structure (POSCAR):
```
TbSmHgGe
1.0
-2.411 -0.568 4.585
0.598 -4.398 2.731
2.763 0.031 4.419
Tb Ge Sm Hg
1 1 1 1
Cartesian
0.000 0.000 0.000
0.237 -1.234 2.934
0.474 -2.467 5.867
0.712 -3.701 8.801
```